[1]
ZrSc2In: relaxed, PBE. Values from VASP.

Quantum ESPRESSO input file:
```
&SYSTEM
  ibrav = 0, nat = 4, ntyp = 3
/
ATOMIC_SPECIES
Zr 91.22 Zr.upf
Sc 44.96 Sc.upf
In 114.82 In.upf
ATOMIC_POSITIONS crystal
Zr 0.000 0.000 0.000
Sc 0.000 0.000 0.479
Sc 0.500 0.500 0.753
In 0.500 0.500 0.243
CELL_PARAMETERS angstrom
3.260 0.000 0.000
0.000 3.260 0.000
0.000 0.000 8.812
```

Computed properties:
The magnetic moment is 0.212 μB per cell. The value obtained for the formation energy is -0.7 eV/f.u.

***

[2]
AlZnSb2: relaxed, PBE. Values from VASP.

Quantum ESPRESSO input file:
```
&SYSTEM
  ibrav = 0, nat = 4, ntyp = 3
/
ATOMIC_SPECIES
Al 26.98 Al.upf
Zn 65.41 Zn.upf
Sb 121.76 Sb.upf
ATOMIC_POSITIONS crystal
Al 0.000 0.000 0.000
Zn 0.338 0.838 0.500
Sb 0.575 0.575 0.000
Sb 0.785 0.285 0.500
CELL_PARAMETERS angstrom
-1.980 1.992 5.913
1.980 -1.992 5.913
1.980 1.992 -5.913
```

Computed properties:
The magnetic moment is 0.000 μB per cell. The calculation puts the formation energy from raw total energies at 162 meV per atom. Its excess energy over the best structure of this formula in the dataset is 16.5 kJ/mol of atoms.

***

[3]
Li4Zn3Cd4: relaxed, PBE. Values from VASP.

Quantum ESPRESSO input file:
```
&SYSTEM
  ibrav = 0, nat = 11, ntyp = 3
/
ATOMIC_SPECIES
Li 6.94 Li.upf
Zn 65.41 Zn.upf
Cd 112.41 Cd.upf
ATOMIC_POSITIONS crystal
Li 0.000 0.000 0.000
Li 0.039 0.557 0.886
Li 0.151 0.179 0.640
Li 0.901 0.372 0.256
Zn 0.398 0.275 0.450
Zn 0.432 0.918 0.164
Zn 0.609 0.639 0.720
Cd 0.350 0.827 0.346
Cd 0.478 0.468 0.064
Cd 0.560 0.088 0.823
Cd 0.783 0.732 0.537
CELL_PARAMETERS angstrom
2.936 0.000 0.000
0.011 4.607 0.000
1.071 2.266 14.791
```

Computed properties:
The magnetic moment is 0.000 μB per cell. The value obtained for the formation energy is -1.7 eV/f.u.

***

| no. | DOS at the Fermi energy (states/eV/f.u.) |
| --- | --- |
| 1 | 4.39 |
| 2 | 1.40 |
| 3 | 2.79 |